Entry 1:
Crystalline Y4Er7Mg at its relaxed geometry, computed with PBE.

Unit cell a=5.7744 b=6.6438 c=11.5140 alpha=82.22 beta=75.48 gamma=64.24
With the nearest neighbours (Å) after each atom.
Sites, in units of the cell vectors:
Er (0.5000, 0.0000, 0.0000)  2 Mg 2.89
Er (0.7977, 0.4781, 0.9264)  1 Mg 2.95, 2 Er 3.25-3.29
Er (0.9101, 0.8967, 0.2830)  1 Mg 3.20, 2 Er 3.29
Er (0.2023, 0.5219, 0.0736)  1 Mg 2.95, 2 Er 3.25-3.29
Er (0.0899, 0.1033, 0.7170)  1 Mg 3.20, 2 Er 3.29
Er (0.3680, 0.7803, 0.4838)  2 Er 3.29-3.36, 5 Y 3.30-3.61
Er (0.6320, 0.2197, 0.5162)  2 Er 3.29-3.36, 5 Y 3.30-3.61
Y (0.6281, 0.5153, 0.2285)  5 Er 3.30-3.61, 2 Y 3.48
Y (0.8246, 0.7094, 0.6415)  5 Er 3.32-3.70, 2 Y 3.48
Y (0.3719, 0.4847, 0.7715)  5 Er 3.30-3.61, 2 Y 3.48
Y (0.1754, 0.2906, 0.3585)  5 Er 3.32-3.70, 2 Y 3.48
Mg (0.0000, 0.0000, 0.0000)  6 Er 2.89-3.20

Calculated values
The value obtained for the energy relative to the lowest polymorph listed for this composition is 173 meV/atom. Its symmetry is C2/m, No. 12. The electronic total energy comes out at -56.08 eV for the cell shown. Its formation energy is 276 meV per atom.



Entry 2:
Crystalline MgPPt4 at its relaxed geometry, computed with PBE.

Unit cell a=5.5848 b=4.6713 c=8.2006 alpha=98.03 beta=70.09 gamma=90.00
With the nearest neighbours (Å) after each atom.
Sites, in units of the cell vectors:
Pt (0.3885, 0.2959, 0.7144)  1 P 2.35
Pt (0.8971, 0.2959, 0.7144)  1 P 2.35
Pt (0.7641, 0.0000, 0.0000)  2 P 2.35, 1 Pt 2.63
Pt (0.3016, 0.2301, 0.3967)  1 P 2.35
Pt (0.2359, 0.0000, 0.0000)  2 P 2.35, 1 Pt 2.63
Pt (0.6115, 0.7041, 0.2856)  1 P 2.35
Pt (0.1029, 0.7041, 0.2856)  1 P 2.35
Pt (0.6984, 0.7699, 0.6033)  1 P 2.35
Mg (0.8115, 0.2277, 0.3770)  10 Pt 2.79-2.95
Mg (0.1885, 0.7723, 0.6230)  10 Pt 2.79-2.95
P (0.5581, 0.6278, 0.8838)  1 P 2.30, 5 Pt 2.35
P (0.4419, 0.3722, 0.1162)  1 P 2.30, 5 Pt 2.35

Calculated values
The value obtained for the energy relative to the lowest polymorph listed for this composition is 0 meV/atom. Its symmetry is C2/m, No. 12. The electronic total energy comes out at -67.63 eV for the cell shown. Its formation energy is -441 meV per atom.



Entry 3:
Crystalline SnPd6Rh at its relaxed geometry, computed with PBE.

Unit cell a=7.2253 b=7.2253 c=5.3190 alpha=47.22 beta=47.22 gamma=60.00
With the nearest neighbours (Å) after each atom.
Sites, in units of the cell vectors:
Pd (0.5398, 0.1649, 0.1304)  1 Rh 2.60, 1 Sn 2.64, 5 Pd 2.65-2.75
Pd (0.4602, 0.8351, 0.8696)  1 Rh 2.60, 1 Sn 2.64, 5 Pd 2.65-2.75
Pd (0.8351, 0.8351, 0.8696)  1 Rh 2.60, 1 Sn 2.64, 5 Pd 2.65-2.75
Pd (0.1649, 0.5398, 0.1304)  1 Rh 2.60, 1 Sn 2.64, 5 Pd 2.65-2.75
Pd (0.1649, 0.1649, 0.1304)  1 Rh 2.60, 1 Sn 2.64, 5 Pd 2.65-2.75
Pd (0.8351, 0.4602, 0.8696)  1 Rh 2.60, 1 Sn 2.64, 5 Pd 2.65-2.75
Rh (0.5000, 0.5000, 0.5000)  6 Pd 2.60
Sn (0.0000, 0.0000, 0.0000)  6 Pd 2.64

Calculated values
Its symmetry is R-3m, No. 166. The electronic total energy comes out at -40.04 eV for the cell shown. Its formation energy is 309 meV per atom.



Entry 4:
Crystalline Rb5H at its relaxed geometry, computed with PBE.

Unit cell a=8.0783 b=4.4673 c=13.2573 alpha=99.70 beta=90.00 gamma=90.00
With the nearest neighbours (Å) after each atom.
Sites, in units of the cell vectors:
Rb (0.5000, 0.5000, 0.0000)  10 Rb 4.47-4.94, 4 H 4.62
Rb (0.0000, 0.5775, 0.1550)  2 H 3.02
Rb (0.5000, 0.8316, 0.6632)  6 Rb 4.47-4.94
Rb (0.0000, 0.4225, 0.8450)  2 H 3.02
Rb (0.5000, 0.1684, 0.3368)  6 Rb 4.47-4.94
H (0.0000, 0.0000, 0.0000)  4 Rb 3.02

Calculated values
Its symmetry is Cmmm, No. 65. The electronic total energy comes out at -7.65 eV for the cell shown.



Entry 5:
Crystalline Cd2BiPb at its relaxed geometry, computed with PBE.

Unit cell a=8.4834 b=8.4834 c=6.8316 alpha=51.62 beta=51.62 gamma=90.00
With the nearest neighbours (Å) after each atom.
Sites, in units of the cell vectors:
Bi (0.7500, 0.2500, 0.5000)  4 Cd 3.07, 2 Pb 3.27
Bi (0.0000, 0.0000, 0.0000)  4 Cd 3.07, 2 Pb 3.27
Pb (0.2500, 0.7500, 0.5000)  4 Cd 3.15, 2 Bi 3.27
Pb (0.5000, 0.5000, 0.0000)  4 Cd 3.15, 2 Bi 3.27
Cd (0.8750, 0.8820, 0.7500)  2 Bi 3.07, 2 Pb 3.15, 2 Cd 3.27
Cd (0.3750, 0.3680, 0.7500)  2 Bi 3.07, 2 Pb 3.15, 2 Cd 3.27
Cd (0.1180, 0.6250, 0.2500)  2 Bi 3.07, 2 Pb 3.15, 2 Cd 3.27
Cd (0.6320, 0.1250, 0.2500)  2 Bi 3.07, 2 Pb 3.15, 2 Cd 3.27

Calculated values
The value obtained for the energy relative to the lowest polymorph listed for this composition is 68 meV/atom. Its symmetry is I-42d, No. 122. The electronic total energy comes out at -17.86 eV for the cell shown. Its formation energy is 123 meV per atom.



Entry 6:
Crystalline Sm3RhI2 at its relaxed geometry, computed with PBE.

Unit cell a=4.0436 b=6.1238 c=8.4145 alpha=111.34 beta=103.90 gamma=90.00
With the nearest neighbours (Å) after each atom.
Sites, in units of the cell vectors:
Sm (0.0000, 0.0000, 0.0000)  2 Rh 3.06
Sm (0.3804, 0.3804, 0.7608)  2 Rh 2.71
Sm (0.6196, 0.6196, 0.2392)  2 Rh 2.71
I (0.6865, 0.1865, 0.3731)  6 Sm 3.23-3.56
I (0.3135, 0.8135, 0.6269)  6 Sm 3.23-3.56
Rh (0.0000, 0.5000, 0.0000)  4 Sm 2.71

Calculated values
Its symmetry is Immm, No. 71. The electronic total energy comes out at -29.83 eV for the cell shown. The calculation puts the formation energy (no corrections) at -0.87 eV/atom.



Entry 7:
Crystalline Er4CuIr3 at its relaxed geometry, computed with PBE.

Unit cell a=4.8863 b=6.6327 c=9.7712 alpha=90.00 beta=90.00 gamma=90.00
With the nearest neighbours (Å) after each atom.
Sites, in units of the cell vectors:
Ir (0.4996, 0.0000, 0.2500)  8 Er 2.94
Ir (0.0000, 0.0000, 0.5000)  8 Er 2.94
Ir (0.5004, 0.0000, 0.7500)  8 Er 2.94
Ir (0.4997, 0.5000, 0.2500)  8 Er 2.96-2.97, 2 Ir 3.32
Ir (0.0000, 0.0000, 0.0000)  8 Er 2.94
Ir (0.5003, 0.5000, 0.7500)  8 Er 2.96-2.97, 2 Ir 3.32
Er (0.0002, 0.7533, 0.7500)  6 Ir 2.94-2.97, 2 Cu 2.96, 1 Er 3.27
Er (0.9998, 0.7533, 0.2500)  6 Ir 2.94-2.97, 2 Cu 2.96, 1 Er 3.27
Er (0.5000, 0.7533, 0.5000)  6 Ir 2.94-2.96, 2 Cu 2.96, 1 Er 3.27
Er (0.5000, 0.2467, 0.5000)  6 Ir 2.94-2.96, 2 Cu 2.96, 1 Er 3.27
Er (0.0002, 0.2467, 0.7500)  6 Ir 2.94-2.97, 2 Cu 2.96, 1 Er 3.27
Er (0.9998, 0.2467, 0.2500)  6 Ir 2.94-2.97, 2 Cu 2.96, 1 Er 3.27
Er (0.5000, 0.7533, 0.0000)  6 Ir 2.94-2.96, 2 Cu 2.96, 1 Er 3.27
Er (0.5000, 0.2467, 0.0000)  6 Ir 2.94-2.96, 2 Cu 2.96, 1 Er 3.27
Cu (0.0000, 0.5000, 0.0000)  8 Er 2.96, 2 Ir 3.32
Cu (0.0000, 0.5000, 0.5000)  8 Er 2.96, 2 Ir 3.32

Calculated values
Its symmetry is P4/mmm, No. 123. The electronic total energy comes out at -109.88 eV for the cell shown. Its formation energy is -751 meV per atom.



Entry 8:
Crystalline HfTeRh3 at its relaxed geometry, computed with PBE.

Unit cell a=4.8012 b=4.8012 c=4.8012 alpha=90.00 beta=90.00 gamma=90.00
With the nearest neighbours (Å) after each atom.
Sites, in units of the cell vectors:
Rh (0.0000, 0.5000, 0.0000)  2 Hf 2.40
Rh (0.0000, 0.0000, 0.5000)  2 Hf 2.40
Rh (0.5000, 0.0000, 0.0000)  2 Hf 2.40
Hf (0.0000, 0.0000, 0.0000)  6 Rh 2.40
Te (0.5000, 0.5000, 0.5000)  12 Rh 3.39

Calculated values
The value obtained for the energy relative to the lowest polymorph listed for this composition is 47 meV/atom. Its symmetry is Pm-3m, No. 221. The electronic total energy comes out at -31.85 eV for the cell shown. The calculation puts the formation energy (no corrections) at 0.66 eV/atom.